1.
Below is PaGeOs2 after structural relaxation, with properties calculated at the GGA-PBE level.

```
data_PaGeOs2
_cell_length_a 6.608
_cell_length_b 6.608
_cell_length_c 6.608
_cell_angle_alpha 90.00
_cell_angle_beta 90.00
_cell_angle_gamma 90.00
_space_group_name_H-M_alt 'F m -3 m'
_space_group_IT_number 225
_space_group_name_Hall '-F 4 2 3'
loop_
_atom_site_label
_atom_site_fract_x
_atom_site_fract_y
_atom_site_fract_z
Pa1 0.000 0.000 0.000
Ge1 0.000 0.000 0.500
Os1 0.250 0.250 0.250
```

Values from the calculation:
Offset from the most stable computed form = 20.9 kJ per mole of atoms

2.
Below is TaCrCu2 after structural relaxation, with properties calculated at the GGA-PBE level.

```
data_TaCrCu2
_cell_length_a 2.6788
_cell_length_b 2.6788
_cell_length_c 26.7844
_cell_angle_alpha 90.00
_cell_angle_beta 90.00
_cell_angle_gamma 120.00
_space_group_name_H-M_alt 'R -3 m'
_space_group_IT_number 166
_space_group_name_Hall '-R 3 2"'
loop_
_atom_site_label
_atom_site_fract_x
_atom_site_fract_y
_atom_site_fract_z
Ta1 0.0000 0.0000 0.0000
Cr1 0.0000 0.0000 0.5000
Cu1 0.0000 0.0000 0.2450
```

Values from the calculation:
Offset from the most stable computed form = 21.6 kJ per mole of atoms

3.
Below is Tl2HgIr after structural relaxation, with properties calculated at the GGA-PBE level.

```
data_Tl2HgIr
_cell_length_a 4.556
_cell_length_b 4.556
_cell_length_c 8.422
_cell_angle_alpha 90.00
_cell_angle_beta 90.00
_cell_angle_gamma 90.00
_space_group_name_H-M_alt 'I 4/m m m'
_space_group_IT_number 139
_space_group_name_Hall '-I 4 2'
loop_
_atom_site_label
_atom_site_fract_x
_atom_site_fract_y
_atom_site_fract_z
Tl1 0.000 0.500 0.250
Hg1 0.000 0.000 0.000
Ir1 0.000 0.000 0.500
```

Values from the calculation:
Offset from the most stable computed form = 29.2 kJ per mole of atoms

4.
Below is LaZr2In after structural relaxation, with properties calculated at the GGA-PBE level.

```
data_LaZr2In
_cell_length_a 4.515
_cell_length_b 4.515
_cell_length_c 21.413
_cell_angle_alpha 90.00
_cell_angle_beta 90.00
_cell_angle_gamma 90.00
_space_group_name_H-M_alt 'I -4 2 d'
_space_group_IT_number 122
_space_group_name_Hall 'I -4 2bw'
loop_
_atom_site_label
_atom_site_fract_x
_atom_site_fract_y
_atom_site_fract_z
La1 0.000 0.000 0.000
Zr1 0.241 0.250 0.625
In1 0.000 0.000 0.500
```

It is found that the E_form values, taken in the order of the records, are 0.054; 0.411; 0.550; 0.213 eV per atom.